[1]
Rb2TmScTe4 after structural relaxation, computed with PBE-GGA.

Geometry as POSCAR:
```
Rb2TmScTe4
1.0
4.415 0.000 0.000
0.000 7.645 0.130
0.000 -2.691 8.469
Rb Tm Sc Te
2 1 1 4
Cartesian
2.208 -1.346 4.235
0.000 2.477 4.300
2.208 3.822 0.065
0.000 0.000 0.000
2.208 1.190 1.647
2.208 3.763 6.952
0.000 -0.172 6.851
0.000 5.125 1.748
```

Values from the calculation:
E_tot: -4.46 eV/atom
ΔE_f (raw): -1.293 eV per atom



[2]
Rb3Tm2ScTe6 after structural relaxation, computed with PBE-GGA.

Geometry as POSCAR:
```
Rb3Tm2ScTe6
1.0
-3.077 -3.627 6.036
6.348 -2.777 -3.325
3.712 6.817 4.357
Rb Tm Sc Te
3 2 1 6
Cartesian
6.609 0.488 0.438
0.374 -0.075 6.630
3.492 0.207 3.534
3.203 -3.061 -0.201
0.068 -3.343 2.913
0.000 0.000 0.000
3.988 0.407 7.129
3.145 -3.410 2.856
2.995 0.006 -0.061
7.052 0.683 4.086
3.839 3.823 4.212
-0.069 -0.270 2.983
```

Values from the calculation:
E_tot: -4.40 eV/atom
ΔE_f (raw): -1.315 eV per atom



[3]
Rb3ScU2Te6 after structural relaxation, computed with PBE-GGA.

Geometry as POSCAR:
```
Rb3ScU2Te6
1.0
-5.532 3.423 -4.203
-0.448 -7.574 1.557
-2.385 3.121 8.063
Rb Sc U Te
3 1 2 6
Cartesian
-2.504 -4.145 4.609
-5.860 3.115 0.807
-4.182 -0.515 2.708
0.000 0.000 0.000
-2.144 -3.904 -0.366
-3.835 -0.247 -2.281
-7.355 1.059 3.495
-4.932 -2.473 -0.368
-1.010 -2.089 1.921
-5.721 -2.474 5.346
-3.433 1.443 5.784
-2.643 1.444 0.071
```

Values from the calculation:
E_tot: -5.18 eV/atom
ΔE_f (raw): -0.958 eV per atom
DOS(E_F): 14.64 states/eV/cell



[4]
Rb2ScUTe4 after structural relaxation, computed with PBE-GGA.

Geometry as POSCAR:
```
Rb2ScUTe4
1.0
-3.715 0.173 -2.440
-3.036 -5.670 4.221
-2.267 7.666 3.993
Rb Sc U Te
2 1 1 4
Cartesian
-2.991 3.919 0.776
-2.651 0.998 4.107
0.000 0.000 0.000
-3.376 -2.749 0.890
-2.960 0.321 0.474
-6.058 1.848 5.300
-2.589 4.693 4.273
-2.714 -2.697 3.941
```

Values from the calculation:
E_tot: -5.04 eV/atom
ΔE_f (raw): -1.021 eV per atom
DOS(E_F): 8.94 states/eV/cell



[5]
Rb2Sc2UTe6 after structural relaxation, computed with PBE-GGA.

Geometry as POSCAR:
```
Rb2Sc2UTe6
1.0
7.460 -0.039 0.076
-3.721 6.466 0.076
-1.313 -2.258 8.724
Rb Sc U Te
2 2 1 6
Cartesian
5.627 1.027 0.076
-1.888 5.400 0.076
-0.662 3.175 4.438
3.087 0.994 4.438
-0.657 -1.129 4.362
1.773 3.048 6.136
-1.939 1.059 6.070
0.652 1.121 2.740
1.878 -1.162 6.070
4.364 3.111 2.807
0.547 5.331 2.807
```

Values from the calculation:
E_tot: -5.15 eV/atom
ΔE_f (raw): -1.085 eV per atom
DOS(E_F): 7.28 states/eV/cell



[6]
Rb3Sc3UTe8 after structural relaxation, computed with PBE-GGA.

Geometry as POSCAR:
```
Rb3Sc3UTe8
1.0
-7.919 -3.365 -0.527
6.461 -3.452 -4.546
0.146 -1.882 9.814
Rb Sc U Te
3 3 1 8
Cartesian
0.000 0.000 0.000
3.231 -1.726 -2.273
-0.729 -3.408 -2.537
-3.886 -2.624 4.643
-0.656 -4.349 2.370
3.304 -2.667 2.634
0.073 -0.941 4.907
1.398 -3.361 0.457
-2.709 -5.337 4.284
-2.600 -4.958 0.220
1.288 -3.741 4.521
-5.710 -3.294 2.420
4.399 -5.405 2.321
-1.901 -1.675 2.674
0.590 -7.024 2.067
```

Values from the calculation:
E_tot: -5.02 eV/atom
ΔE_f (raw): -1.133 eV per atom
DOS(E_F): 5.23 states/eV/cell



[7]
Rb4Sc3UTe8 after structural relaxation, computed with PBE-GGA.

Geometry as POSCAR:
```
Rb4Sc3UTe8
1.0
8.792 0.000 0.000
0.000 9.890 0.777
-4.396 -4.398 6.218
Rb Sc U Te
4 3 1 8
Cartesian
4.396 0.000 0.000
2.198 -2.199 3.109
0.000 0.000 0.000
-2.198 -2.199 3.109
4.396 4.945 0.389
2.198 2.746 3.497
-2.198 2.746 3.497
0.000 4.945 0.389
-2.118 2.657 6.487
0.000 4.776 3.491
0.000 0.704 3.608
2.118 2.657 6.487
2.278 2.836 0.508
4.396 4.788 3.387
4.396 0.717 3.503
6.514 2.836 0.508
```

Values from the calculation:
E_tot: -4.83 eV/atom
ΔE_f (raw): -1.125 eV per atom
DOS(E_F): 10.22 states/eV/cell



[8]
Rb3Sc2UTe6 after structural relaxation, computed with PBE-GGA.

Geometry as POSCAR:
```
Rb3Sc2UTe6
1.0
-3.289 -6.167 3.135
7.493 1.257 0.972
-3.074 6.125 5.700
Rb Sc U Te
3 2 1 6
Cartesian
4.198 3.108 4.175
-3.067 -1.894 5.632
0.566 0.607 4.904
3.904 -1.215 1.692
0.301 -3.695 2.415
0.000 0.000 0.000
-1.146 -0.094 8.095
2.422 -2.338 4.046
2.278 1.308 1.712
2.598 2.484 7.344
-1.290 3.553 5.761
-1.466 -1.270 2.463
```

Values from the calculation:
E_tot: -4.90 eV/atom
ΔE_f (raw): -1.091 eV per atom
DOS(E_F): 10.79 states/eV/cell